NiAgOs SCAN PBEsol geometry; energy relative to the lowest polymorph listed for this composition = 186.8 meV per atom; ΔE_f = 0.72 eV per atom; V = 13.70 A^3/atom
1.0
4.320 0.000 0.000
-2.160 3.741 0.000
0.000 0.000 2.544
Ni Ag Os
1 1 1
Cartesian
0.000 0.000 0.000
2.160 1.247 0.055
0.000 2.494 1.308

=====

NiAgOs SCAN PBEsol geometry; energy relative to the lowest polymorph listed for this composition = 0.0 meV per atom; ΔE_f = 0.54 eV per atom; V = 13.94 A^3/atom
1.0
0.000 2.253 6.795
1.366 0.000 6.795
1.366 2.253 0.000
Ni Ag Os
1 1 1
Cartesian
0.000 0.000 0.000
1.366 2.253 4.550
1.366 2.253 8.831

=====

Ni2AgP SCAN PBEsol geometry; ΔE_f = 0.04 eV per atom; V = 12.87 A^3/atom
1.0
3.951 0.000 0.000
0.000 1.396 4.667
0.000 -1.396 4.667
Ni Ag P
2 1 1
Cartesian
0.000 0.000 0.000
1.976 0.000 3.701
0.000 0.000 6.889
1.976 0.000 0.797

=====

Ni2AgP SCAN PBEsol geometry; ΔE_f = 0.00 eV per atom; V = 13.35 A^3/atom
1.0
3.909 -1.462 0.000
3.909 1.462 0.000
-0.454 0.000 4.674
Ni Ag P
2 1 1
Cartesian
0.000 0.000 0.000
5.588 0.000 1.121
3.426 0.000 2.425
1.774 0.000 4.318

=====

Ni2AgP SCAN PBEsol geometry; ΔE_f = 0.22 eV per atom; V = 12.26 A^3/atom
1.0
-1.786 1.786 3.842
1.786 -1.786 3.842
1.786 1.786 -3.842
Ni Ag P
2 1 1
Cartesian
0.000 0.000 0.000
0.000 1.786 1.921
1.786 0.000 1.921
0.000 0.000 3.842

=====

NiAgPS2 SCAN PBEsol geometry; V = 20.66 A^3/atom; E_form (uncorrected) = 1380 meV/atom
1.0
4.725 0.000 0.000
0.000 4.725 0.000
0.000 0.000 4.628
Ni Ag P S
1 1 1 2
Cartesian
0.000 0.000 0.000
2.362 2.362 2.314
2.362 2.362 0.000
0.000 2.362 2.314
2.362 0.000 2.314